CuHg2Se2Br2 PBE-GGA optimized geometry; ΔE_f (raw) = -191 meV per atom; calculated volume = 30.2 Å³ per atom
1.0
4.5250 0.3527 -0.2957
0.5786 7.1834 1.0726
2.1501 4.0108 6.9925
Br Hg Se Cu
2 2 2 1
direct
0.3325 0.3081 0.8898
0.6675 0.6919 0.1102
0.7191 0.2442 0.4629
0.2809 0.7558 0.5371
0.1690 0.0579 0.6661
0.8310 0.9421 0.3339
0.0000 0.0000 0.0000